Material: CdFeAgSn
Method: DFT, PBE
State: relaxed

Properties
VASP energy, eV/atom: -3.7529
Total magnetic moment, μB per formula unit: 2.3
Space-group type: F-43m
Calculated volume, Å³ per atom: 18.53

a b c (Å): 6.6684 6.6684 6.6684
angles (deg): 90.00 90.00 90.00
Closest atoms and distances in Å follow each position.
Positions (direct):
Cd  0.0000  0.0000  0.0000  4 Fe 2.89, 4 Ag 2.89
Cd  0.0000  0.5000  0.5000  4 Fe 2.89, 4 Ag 2.89
Cd  0.5000  0.0000  0.5000  4 Fe 2.89, 4 Ag 2.89
Cd  0.5000  0.5000  0.0000  4 Fe 2.89, 4 Ag 2.89
Fe  0.2500  0.2500  0.7500  4 Cd 2.89, 4 Sn 2.89
Fe  0.2500  0.7500  0.2500  4 Cd 2.89, 4 Sn 2.89
Fe  0.7500  0.2500  0.2500  4 Cd 2.89, 4 Sn 2.89
Fe  0.7500  0.7500  0.7500  4 Cd 2.89, 4 Sn 2.89
Ag  0.2500  0.2500  0.2500  4 Cd 2.89, 4 Sn 2.89
Ag  0.2500  0.7500  0.7500  4 Cd 2.89, 4 Sn 2.89
Ag  0.7500  0.2500  0.7500  4 Cd 2.89, 4 Sn 2.89
Ag  0.7500  0.7500  0.2500  4 Cd 2.89, 4 Sn 2.89
Sn  0.0000  0.0000  0.5000  4 Ag 2.89, 4 Fe 2.89
Sn  0.0000  0.5000  0.0000  4 Ag 2.89, 4 Fe 2.89
Sn  0.5000  0.0000  0.0000  4 Ag 2.89, 4 Fe 2.89
Sn  0.5000  0.5000  0.5000  4 Ag 2.89, 4 Fe 2.89

---

Material: NpZnSi
Method: DFT, PBE
State: relaxed

Properties
VASP energy, eV/atom: -6.3451
Total magnetic moment, μB per formula unit: 4.8
Space-group type: F-43m
Calculated volume, Å³ per atom: 20.29

a b c (Å): 6.2448 6.2448 6.2448
angles (deg): 90.00 90.00 90.00
Closest atoms and distances in Å follow each position.
Positions (direct):
Np  0.0000  0.0000  0.0000  4 Si 2.70
Np  0.0000  0.5000  0.5000  4 Si 2.70
Np  0.5000  0.0000  0.5000  4 Si 2.70
Np  0.5000  0.5000  0.0000  4 Si 2.70
Zn  0.0000  0.0000  0.5000  4 Si 2.70
Zn  0.0000  0.5000  0.0000  4 Si 2.70
Zn  0.5000  0.0000  0.0000  4 Si 2.70
Zn  0.5000  0.5000  0.5000  4 Si 2.70
Si  0.2500  0.2500  0.2500  4 Np 2.70, 4 Zn 2.70
Si  0.2500  0.7500  0.7500  4 Np 2.70, 4 Zn 2.70
Si  0.7500  0.2500  0.7500  4 Np 2.70, 4 Zn 2.70
Si  0.7500  0.7500  0.2500  4 Np 2.70, 4 Zn 2.70

---

Material: PmPuTa
Method: DFT, PBE
State: relaxed

Properties
VASP energy, eV/atom: -9.0038
Total magnetic moment, μB per formula unit: 7.0
Space-group type: F-43m
Calculated volume, Å³ per atom: 25.03

a b c (Å): 6.6966 6.6966 6.6966
angles (deg): 90.00 90.00 90.00
Closest atoms and distances in Å follow each position.
Positions (direct):
Pm  0.0000  0.0000  0.0000  4 Pu 2.90
Pm  0.0000  0.5000  0.5000  4 Pu 2.90
Pm  0.5000  0.0000  0.5000  4 Pu 2.90
Pm  0.5000  0.5000  0.0000  4 Pu 2.90
Pu  0.2500  0.2500  0.2500  4 Ta 2.90, 4 Pm 2.90
Pu  0.2500  0.7500  0.7500  4 Ta 2.90, 4 Pm 2.90
Pu  0.7500  0.2500  0.7500  4 Ta 2.90, 4 Pm 2.90
Pu  0.7500  0.7500  0.2500  4 Ta 2.90, 4 Pm 2.90
Ta  0.0000  0.0000  0.5000  4 Pu 2.90
Ta  0.0000  0.5000  0.0000  4 Pu 2.90
Ta  0.5000  0.0000  0.0000  4 Pu 2.90
Ta  0.5000  0.5000  0.5000  4 Pu 2.90

---

Material: Zr2BeSb
Method: DFT, PBE
State: relaxed

Properties
VASP energy, eV/atom: -5.9311
Total magnetic moment, μB per formula unit: 0.5
Space-group type: F-43m
Calculated volume, Å³ per atom: 19.59

a b c (Å): 6.7930 6.7930 6.7930
angles (deg): 90.00 90.00 90.00
Closest atoms and distances in Å follow each position.
Positions (direct):
Zr  0.0000  0.0000  0.0000  4 Zr 2.94, 4 Be 2.94
Zr  0.0000  0.5000  0.5000  4 Zr 2.94, 4 Be 2.94
Zr  0.2500  0.2500  0.2500  4 Zr 2.94, 4 Sb 2.94
Zr  0.2500  0.7500  0.7500  4 Zr 2.94, 4 Sb 2.94
Zr  0.5000  0.0000  0.5000  4 Zr 2.94, 4 Be 2.94
Zr  0.5000  0.5000  0.0000  4 Zr 2.94, 4 Be 2.94
Zr  0.7500  0.2500  0.7500  4 Zr 2.94, 4 Sb 2.94
Zr  0.7500  0.7500  0.2500  4 Zr 2.94, 4 Sb 2.94
Be  0.2500  0.2500  0.7500  4 Zr 2.94, 4 Sb 2.94
Be  0.2500  0.7500  0.2500  4 Zr 2.94, 4 Sb 2.94
Be  0.7500  0.2500  0.2500  4 Zr 2.94, 4 Sb 2.94
Be  0.7500  0.7500  0.7500  4 Zr 2.94, 4 Sb 2.94
Sb  0.0000  0.0000  0.5000  4 Be 2.94, 4 Zr 2.94
Sb  0.0000  0.5000  0.0000  4 Be 2.94, 4 Zr 2.94
Sb  0.5000  0.0000  0.0000  4 Be 2.94, 4 Zr 2.94
Sb  0.5000  0.5000  0.5000  4 Be 2.94, 4 Zr 2.94

---

Material: NaMgU
Method: DFT, PBE
State: relaxed

Properties
VASP energy, eV/atom: -3.4039
Total magnetic moment, μB per formula unit: 3.9
Space-group type: F-43m
Calculated volume, Å³ per atom: 33.83

a b c (Å): 7.4046 7.4046 7.4046
angles (deg): 90.00 90.00 90.00
Closest atoms and distances in Å follow each position.
Positions (direct):
Na  0.0000  0.0000  0.0000  4 Mg 3.21
Na  0.0000  0.5000  0.5000  4 Mg 3.21
Na  0.5000  0.0000  0.5000  4 Mg 3.21
Na  0.5000  0.5000  0.0000  4 Mg 3.21
Mg  0.2500  0.2500  0.2500  4 U 3.21, 4 Na 3.21
Mg  0.2500  0.7500  0.7500  4 Na 3.21, 4 U 3.21
Mg  0.7500  0.2500  0.7500  4 Na 3.21, 4 U 3.21
Mg  0.7500  0.7500  0.2500  4 Na 3.21, 4 U 3.21
U  0.0000  0.0000  0.5000  4 Mg 3.21
U  0.0000  0.5000  0.0000  4 Mg 3.21
U  0.5000  0.0000  0.0000  4 Mg 3.21
U  0.5000  0.5000  0.5000  4 Mg 3.21

---

Material: Sc2NiB
Method: DFT, PBE
State: relaxed

Properties
VASP energy, eV/atom: -6.0351
Total magnetic moment, μB per formula unit: 0.4
Space-group type: F-43m
Calculated volume, Å³ per atom: 13.46

a b c (Å): 5.9944 5.9944 5.9944
angles (deg): 90.00 90.00 90.00
Closest atoms and distances in Å follow each position.
Positions (direct):
Sc  0.0000  0.0000  0.0000  4 Sc 2.60, 4 B 2.60
Sc  0.0000  0.5000  0.5000  4 Sc 2.60, 4 B 2.60
Sc  0.2500  0.2500  0.2500  4 Ni 2.60, 4 Sc 2.60
Sc  0.2500  0.7500  0.7500  4 Ni 2.60, 4 Sc 2.60
Sc  0.5000  0.0000  0.5000  4 Sc 2.60, 4 B 2.60
Sc  0.5000  0.5000  0.0000  4 Sc 2.60, 4 B 2.60
Sc  0.7500  0.2500  0.7500  4 Ni 2.60, 4 Sc 2.60
Sc  0.7500  0.7500  0.2500  4 Ni 2.60, 4 Sc 2.60
Ni  0.0000  0.0000  0.5000  4 B 2.60, 4 Sc 2.60
Ni  0.0000  0.5000  0.0000  4 Sc 2.60, 4 B 2.60
Ni  0.5000  0.0000  0.0000  4 Sc 2.60, 4 B 2.60
Ni  0.5000  0.5000  0.5000  4 B 2.60, 4 Sc 2.60
B  0.2500  0.2500  0.7500  4 Ni 2.60, 4 Sc 2.60
B  0.2500  0.7500  0.2500  4 Ni 2.60, 4 Sc 2.60
B  0.7500  0.2500  0.2500  4 Ni 2.60, 4 Sc 2.60
B  0.7500  0.7500  0.7500  4 Ni 2.60, 4 Sc 2.60

---

Material: ZnPW4N2
Method: DFT, PBE
State: relaxed

Properties
VASP energy, eV/atom: -9.2848
Total magnetic moment, μB per formula unit: 0.0
Space-group type: P-6m2
Calculated volume, Å³ per atom: 12.59

a b c (Å): 2.8852 2.8852 13.9680
angles (deg): 90.00 90.00 120.00
Closest atoms and distances in Å follow each position.
Positions (direct):
Zn  0.0000  0.0000  0.0000  6 W 2.80, 6 Zn 2.89
P  0.3333  0.6667  0.5000  6 W 2.50
W  0.0000  0.0000  0.3664  3 N 2.23
W  0.0000  0.0000  0.6336  3 N 2.23
W  0.3333  0.6667  0.1610  3 N 2.17
W  0.3333  0.6667  0.8390  3 N 2.17
N  0.6667  0.3333  0.2607  6 W 2.17-2.23
N  0.6667  0.3333  0.7393  6 W 2.17-2.23

---

Material: NpUTc
Method: DFT, PBE
State: relaxed

Properties
VASP energy, eV/atom: -11.2309
Total magnetic moment, μB per formula unit: 0.0
Space-group type: F-43m
Calculated volume, Å³ per atom: 19.42

a b c (Å): 6.1537 6.1537 6.1537
angles (deg): 90.00 90.00 90.00
Closest atoms and distances in Å follow each position.
Positions (direct):
Np  0.0000  0.0000  0.0000  4 U 2.66
Np  0.0000  0.5000  0.5000  4 U 2.66
Np  0.5000  0.0000  0.5000  4 U 2.66
Np  0.5000  0.5000  0.0000  4 U 2.66
U  0.2500  0.2500  0.7500  4 Tc 2.66, 4 Np 2.66
U  0.2500  0.7500  0.2500  4 Tc 2.66, 4 Np 2.66
U  0.7500  0.2500  0.2500  4 Tc 2.66, 4 Np 2.66
U  0.7500  0.7500  0.7500  4 Tc 2.66, 4 Np 2.66
Tc  0.0000  0.0000  0.5000  4 U 2.66
Tc  0.0000  0.5000  0.0000  4 U 2.66
Tc  0.5000  0.0000  0.0000  4 U 2.66
Tc  0.5000  0.5000  0.5000  4 U 2.66

---

Material: CsPdPt
Method: DFT, PBE
State: relaxed

Properties
VASP energy, eV/atom: -3.2877
Total magnetic moment, μB per formula unit: 0.0
Space-group type: F-43m
Calculated volume, Å³ per atom: 27.15

a b c (Å): 6.8807 6.8807 6.8807
angles (deg): 90.00 90.00 90.00
Closest atoms and distances in Å follow each position.
Positions (direct):
Cs  0.0000  0.0000  0.0000  4 Pd 2.98
Cs  0.0000  0.5000  0.5000  4 Pd 2.98
Cs  0.5000  0.0000  0.5000  4 Pd 2.98
Cs  0.5000  0.5000  0.0000  4 Pd 2.98
Pd  0.2500  0.2500  0.2500  4 Cs 2.98, 4 Pt 2.98
Pd  0.2500  0.7500  0.7500  4 Cs 2.98, 4 Pt 2.98
Pd  0.7500  0.2500  0.7500  4 Cs 2.98, 4 Pt 2.98
Pd  0.7500  0.7500  0.2500  4 Cs 2.98, 4 Pt 2.98
Pt  0.0000  0.0000  0.5000  4 Pd 2.98
Pt  0.0000  0.5000  0.0000  4 Pd 2.98
Pt  0.5000  0.0000  0.0000  4 Pd 2.98
Pt  0.5000  0.5000  0.5000  4 Pd 2.98

---

Material: InFeAuSeS2
Method: DFT, PBE
State: relaxed

Properties
VASP energy, eV/atom: -4.5377
Total magnetic moment, μB per formula unit: 0.1
Space-group type: Cmcm
Calculated volume, Å³ per atom: 19.79

a b c (Å): 7.2986 7.2986 9.5806
angles (deg): 90.00 90.00 152.27
Closest atoms and distances in Å follow each position.
Positions (direct):
In  0.1859  0.8141  0.7500  2 Se 2.76, 2 S 2.77, 2 Au 2.80
In  0.8141  0.1859  0.2500  2 Se 2.76, 2 S 2.77, 2 Au 2.80
Fe  0.5000  0.5000  0.0000  4 S 2.31, 2 Se 2.45
Fe  0.5000  0.5000  0.5000  4 S 2.31, 2 Se 2.45
Au  0.1602  0.8398  0.2500  2 S 2.39
Au  0.8398  0.1602  0.7500  2 S 2.39
Se  0.4647  0.5353  0.2500  2 Fe 2.45
Se  0.5353  0.4647  0.7500  2 Fe 2.45
S  0.1061  0.8939  0.0142  2 Fe 2.31, 1 Au 2.39
S  0.1061  0.8939  0.4858  2 Fe 2.31, 1 Au 2.39
S  0.8939  0.1061  0.5142  2 Fe 2.31, 1 Au 2.39
S  0.8939  0.1061  0.9858  2 Fe 2.31, 1 Au 2.39

---

Material: LiGeMo2
Method: DFT, PBE
State: relaxed

Properties
VASP energy, eV/atom: -7.0366
Total magnetic moment, μB per formula unit: 0.0
Space-group type: F-43m
Calculated volume, Å³ per atom: 14.57

a b c (Å): 6.1544 6.1544 6.1544
angles (deg): 90.00 90.00 90.00
Closest atoms and distances in Å follow each position.
Positions (direct):
Li  0.0000  0.0000  0.0000  4 Mo 2.66, 4 Ge 2.66
Li  0.0000  0.5000  0.5000  4 Mo 2.66, 4 Ge 2.66
Li  0.5000  0.0000  0.5000  4 Mo 2.66, 4 Ge 2.66
Li  0.5000  0.5000  0.0000  4 Mo 2.66, 4 Ge 2.66
Ge  0.2500  0.2500  0.7500  4 Mo 2.66, 4 Li 2.66
Ge  0.2500  0.7500  0.2500  4 Mo 2.66, 4 Li 2.66
Ge  0.7500  0.2500  0.2500  4 Mo 2.66, 4 Li 2.66
Ge  0.7500  0.7500  0.7500  4 Mo 2.66, 4 Li 2.66
Mo  0.0000  0.0000  0.5000  4 Ge 2.66, 4 Mo 2.66
Mo  0.0000  0.5000  0.0000  4 Ge 2.66, 4 Mo 2.66
Mo  0.2500  0.2500  0.2500  4 Mo 2.66, 4 Li 2.66
Mo  0.2500  0.7500  0.7500  4 Mo 2.66, 4 Li 2.66
Mo  0.5000  0.0000  0.0000  4 Ge 2.66, 4 Mo 2.66
Mo  0.5000  0.5000  0.5000  4 Ge 2.66, 4 Mo 2.66
Mo  0.7500  0.2500  0.7500  4 Mo 2.66, 4 Li 2.66
Mo  0.7500  0.7500  0.2500  4 Mo 2.66, 4 Li 2.66

---

Material: Y10Al3Ir
Method: DFT, PBE
State: relaxed

Properties
VASP energy, eV/atom: -6.4266
Total magnetic moment, μB per formula unit: 0.0
Space-group type: P6_3/mmc
Calculated volume, Å³ per atom: 27.41

a b c (Å): 9.5960 9.5960 9.6226
angles (deg): 90.00 90.00 120.00
Closest atoms and distances in Å follow each position.
Positions (direct):
Y  0.0000  0.0000  0.0000  6 Al 3.05
Y  0.0000  0.0000  0.5000  6 Al 3.05
Y  0.0815  0.5407  0.2500  2 Al 3.19, 1 Ir 3.45, 4 Y 3.53
Y  0.2068  0.4135  0.5581  1 Ir 2.80
Y  0.2068  0.4135  0.9419  1 Ir 2.80
Y  0.2068  0.7932  0.5581  1 Ir 2.80
Y  0.2068  0.7932  0.9419  1 Ir 2.80
Y  0.4135  0.2068  0.0581  1 Ir 2.80
Y  0.4135  0.2068  0.4419  1 Ir 2.80
Y  0.4593  0.5407  0.2500  2 Al 3.19, 1 Ir 3.45, 4 Y 3.53
Y  0.4593  0.9185  0.2500  2 Al 3.19, 1 Ir 3.45, 4 Y 3.53
Y  0.5407  0.0815  0.7500  2 Al 3.19, 1 Ir 3.45, 4 Y 3.53
Y  0.5407  0.4593  0.7500  2 Al 3.19, 1 Ir 3.45, 4 Y 3.53
Y  0.5865  0.7932  0.5581  1 Ir 2.80
Y  0.5865  0.7932  0.9419  1 Ir 2.80
Y  0.7932  0.2068  0.0581  1 Ir 2.80
Y  0.7932  0.2068  0.4419  1 Ir 2.80
Y  0.7932  0.5865  0.0581  1 Ir 2.80
Y  0.7932  0.5865  0.4419  1 Ir 2.80
Y  0.9185  0.4593  0.7500  2 Al 3.19, 1 Ir 3.45, 4 Y 3.53
Al  0.1123  0.2246  0.2500  6 Y 3.05-3.35, 2 Al 3.23
Al  0.1123  0.8877  0.2500  6 Y 3.05-3.35, 2 Al 3.23
Al  0.2246  0.1123  0.7500  6 Y 3.05-3.35, 2 Al 3.23
Al  0.7754  0.8877  0.2500  6 Y 3.05-3.35, 2 Al 3.23
Al  0.8877  0.1123  0.7500  6 Y 3.05-3.35, 2 Al 3.23
Al  0.8877  0.7754  0.7500  6 Y 3.05-3.35, 2 Al 3.23
Ir  0.3333  0.6667  0.7500  6 Y 2.80
Ir  0.6667  0.3333  0.2500  6 Y 2.80